*A*
Crystalline TmZr at its relaxed geometry, computed with PBE.

Its density of states at the Fermi level is 1.497 states/eV/atom. The calculation puts the total moment at 0.0 μB per cell. Its crystal system is hexagonal. Its theoretical density is 8.2 Mg/m³.

a b c (Å): 3.3842 3.3842 5.2889
angles (deg): 90.00 90.00 120.00
Space group P-6m2 (No. 187)
Symmetry-distinct sites (fractional):
Tm (0.0000, 0.0000, 0.0000)
Zr (0.6667, 0.3333, 0.5000)

***

*B*
Crystalline TmZr at its relaxed geometry, computed with PBE.

Its density of states at the Fermi level is 1.217 states/eV/atom. The calculation puts the total moment at 0.0 μB per cell. Its crystal system is orthorhombic. Its theoretical density is 8.1 Mg/m³.

a b c (Å): 3.344 12.275 5.180
angles (deg): 90.00 90.00 90.00
Space group Cmcm (No. 63)
Symmetry-distinct sites (fractional):
Tm (0.000, 0.174, 0.250)
Zr (0.000, 0.447, 0.250)

***

Q: Which of them is the least stable? A: *A*.

***

*A*
Crystalline Tm4Zr at its relaxed geometry, computed with PBE.

Its density of states at the Fermi level is 0.707 states/eV/atom. The calculation puts the total moment at 0.0 μB per cell. Its crystal system is tetragonal. Its theoretical density is 8.1 Mg/m³.

a b c (Å): 9.234 9.234 7.380
angles (deg): 90.00 90.00 90.00
Space group I4_1/amd (No. 141, origin choice 2)
Symmetry-distinct sites (fractional):
Tm (0.000, 0.058, 0.224)
Zr (0.000, 0.250, 0.875)

***

*B*
Crystalline Tm4Zr at its relaxed geometry, computed with PBE.

Its density of states at the Fermi level is 1.504 states/eV/atom. The calculation puts the total moment at 0.0 μB per cell. Its crystal system is tetragonal. Its theoretical density is 8.4 Mg/m³.

a b c (Å): 4.275 4.275 16.524
angles (deg): 90.00 90.00 90.00
Space group I4/mmm (No. 139)
Symmetry-distinct sites (fractional):
Tm (0.000, 0.000, 0.091)
Tm (0.000, 0.500, 0.250)
Zr (0.000, 0.000, 0.500)

***

Q: Which of them is the least stable? A: *B*.

***

*A*
Crystalline U at its relaxed geometry, computed with PBE.

Its density of states at the Fermi level is 2.676 states/eV/atom. The calculation puts the total moment at 0.0 μB per cell. Its crystal system is tetragonal. Its theoretical density is 19.3 Mg/m³.

a b c (Å): 10.444 10.444 5.631
angles (deg): 90.00 90.00 90.00
Space group P4_2/mnm (No. 136)
Symmetry-distinct sites (fractional):
U (0.000, 0.000, 0.000)
U (0.049, 0.364, 0.500)
U (0.056, 0.267, 0.000)
U (0.110, 0.110, 0.500)
U (0.179, 0.821, 0.274)

***

*B*
Crystalline U at its relaxed geometry, computed with PBE.

Its density of states at the Fermi level is 3.323 states/eV/atom. The calculation puts the total moment at 0.0 μB per cell. Its crystal system is orthorhombic. Its theoretical density is 19.5 Mg/m³.

a b c (Å): 5.401 5.023 5.969
angles (deg): 90.00 90.00 90.00
Space group Pmma (No. 51)
Symmetry-distinct sites (fractional):
U (0.000, 0.000, 0.000)
U (0.250, 0.000, 0.479)
U (0.250, 0.500, 0.165)
U (0.250, 0.500, 0.687)

***

Q: Which of them is the least stable? A: *B*.

***

*A*
Crystalline U at its relaxed geometry, computed with PBE.

The calculation puts the total moment at 0.0 μB per cell. Its crystal system is tetragonal. Its theoretical density is 19.8 Mg/m³.

a b c (Å): 2.745 2.745 5.313
angles (deg): 90.00 90.00 90.00
Space group I4/mmm (No. 139)
Symmetry-distinct sites (fractional):
U (0.000, 0.000, 0.000)

***

*B*
Crystalline U at its relaxed geometry, computed with PBE.

Its density of states at the Fermi level is 2.595 states/eV/atom. The calculation puts the total moment at 0.0 μB per cell. Its crystal system is orthorhombic. Its theoretical density is 18.8 Mg/m³.

a b c (Å): 5.047 5.856 11.373
angles (deg): 90.00 90.00 90.00
Space group Pmmm (No. 47)
Symmetry-distinct sites (fractional):
U (0.000, 0.216, 0.000)
U (0.000, 0.279, 0.251)
U (0.000, 0.283, 0.500)
U (0.500, 0.216, 0.377)
U (0.500, 0.278, 0.125)

***

*C*
Crystalline U at its relaxed geometry, computed with PBE.

The calculation puts the total moment at 0.0 μB per cell. Its crystal system is hexagonal. Its theoretical density is 19.7 Mg/m³.

a b c (Å): 5.0270 5.0270 2.7492
angles (deg): 90.00 90.00 120.00
Space group P6/mmm (No. 191)
Symmetry-distinct sites (fractional):
U (0.0000, 0.0000, 0.0000)
U (0.3333, 0.6667, 0.5000)

***

*D*
Crystalline U at its relaxed geometry, computed with PBE.

Its density of states at the Fermi level is 2.442 states/eV/atom. The calculation puts the total moment at 0.0 μB per cell. Its crystal system is monoclinic. Its theoretical density is 19.1 Mg/m³.

a b c (Å): 6.756 8.016 5.398
angles (deg): 90.00 121.90 90.00
Space group C2/c (No. 15)
Symmetry-distinct sites (fractional):
U (0.000, 0.161, 0.250)
U (0.204, 0.417, 0.001)

***

Q: Which of them is the least stable? A: *B*.

***

*A*
Crystalline U at its relaxed geometry, computed with PBE.

Its density of states at the Fermi level is 3.605 states/eV/atom. The calculation puts the total moment at 0.0 μB per cell. Its crystal system is monoclinic. Its theoretical density is 19.4 Mg/m³.

a b c (Å): 3.321 6.733 3.740
angles (deg): 90.00 102.44 90.00
Space group C2/c (No. 15)
Symmetry-distinct sites (fractional):
U (0.000, 0.145, 0.250)

***

*B*
Crystalline U at its relaxed geometry, computed with PBE.

Its density of states at the Fermi level is 2.650 states/eV/atom. The calculation puts the total moment at 0.0 μB per cell. Its crystal system is orthorhombic. Its theoretical density is 18.9 Mg/m³.

a b c (Å): 5.823 11.425 5.023
angles (deg): 90.00 90.00 90.00
Space group Cmmm (No. 65)
Symmetry-distinct sites (fractional):
U (0.216, 0.000, 0.000)
U (0.219, 0.376, 0.500)
U (0.250, 0.250, 0.000)

***

*C*
Crystalline U at its relaxed geometry, computed with PBE.

Its density of states at the Fermi level is 2.934 states/eV/atom. The calculation puts the total moment at 0.0 μB per cell. Its crystal system is hexagonal. Its theoretical density is 18.7 Mg/m³.

a b c (Å): 2.9905 2.9905 10.9056
angles (deg): 90.00 90.00 120.00
Space group P6_3/mmc (No. 194)
Symmetry-distinct sites (fractional):
U (0.0000, 0.0000, 0.0000)
U (0.3333, 0.6667, 0.2500)

***

*D*
Crystalline U at its relaxed geometry, computed with PBE.

Its density of states at the Fermi level is 2.266 states/eV/atom. The calculation puts the total moment at 0.0 μB per cell. Its crystal system is orthorhombic. Its theoretical density is 19.0 Mg/m³.

a b c (Å): 6.575 4.893 5.160
angles (deg): 90.00 90.00 90.00
Space group Pnma (No. 62)
Symmetry-distinct sites (fractional):
U (0.052, 0.250, 0.198)
U (0.218, 0.750, 0.300)

***

Q: Which of them is the least stable? A: *B*.

***

*A*
Crystalline U3V at its relaxed geometry, computed with PBE.

Its density of states at the Fermi level is 2.025 states/eV/atom. The calculation puts the total moment at 0.0 μB per cell. Its crystal system is orthorhombic. Its theoretical density is 17.1 Mg/m³.

a b c (Å): 2.793 4.852 5.475
angles (deg): 90.00 90.00 90.00
Space group Pmm2 (No. 25)
Symmetry-distinct sites (fractional):
U (0.000, 0.000, 0.000)
U (0.000, 0.500, 0.202)
U (0.500, 0.500, 0.684)
V (0.500, 0.000, 0.515)

***

*B*
Crystalline U3V at its relaxed geometry, computed with PBE.

Its density of states at the Fermi level is 2.290 states/eV/atom. The calculation puts the total moment at 0.0 μB per cell. Its crystal system is orthorhombic. Its theoretical density is 16.8 Mg/m³.

a b c (Å): 2.789 10.002 5.420
angles (deg): 90.00 90.00 90.00
Space group Imm2 (No. 44)
Symmetry-distinct sites (fractional):
U (0.000, 0.000, 0.000)
U (0.000, 0.234, 0.227)
V (0.000, 0.500, 0.020)

***

Q: Which of them is the least stable? A: *B*.

***

*A*
Crystalline UVW at its relaxed geometry, computed with PBE.

Its density of states at the Fermi level is 2.354 states/eV/atom. The calculation puts the total moment at 4.0 μB per cell. Its crystal system is tetragonal. Its theoretical density is 14.8 Mg/m³.

a b c (Å): 3.077 3.077 11.189
angles (deg): 90.00 90.00 90.00
Space group I4mm (No. 107)
Symmetry-distinct sites (fractional):
U (0.000, 0.000, 0.000)
V (0.000, 0.000, 0.685)
W (0.000, 0.000, 0.312)

***

*B*
Crystalline UVW at its relaxed geometry, computed with PBE.

Its density of states at the Fermi level is 1.804 states/eV/atom. The calculation puts the total moment at 0.1 μB per cell. Its crystal system is orthorhombic. Its theoretical density is 15.3 Mg/m³.

a b c (Å): 5.090 2.675 7.521
angles (deg): 90.00 90.00 90.00
Space group Pmma (No. 51)
Symmetry-distinct sites (fractional):
U (0.000, 0.000, 0.000)
V (0.250, 0.000, 0.342)
W (0.250, 0.500, 0.645)

***

Q: Which of them is the least stable? A: *B*.

***

*A*
Crystalline UVZn at its relaxed geometry, computed with PBE.

Its density of states at the Fermi level is 1.922 states/eV/atom. The calculation puts the total moment at 1.5 μB per cell. Its crystal system is tetragonal. Its theoretical density is 11.9 Mg/m³.

a b c (Å): 2.678 2.678 13.767
angles (deg): 90.00 90.00 90.00
Space group I4mm (No. 107)
Symmetry-distinct sites (fractional):
U (0.000, 0.000, 0.000)
V (0.000, 0.000, 0.324)
Zn (0.000, 0.000, 0.681)

***

*B*
Crystalline UVZn at its relaxed geometry, computed with PBE.

Its density of states at the Fermi level is 1.380 states/eV/atom. The calculation puts the total moment at 2.4 μB per cell. Its crystal system is orthorhombic. Its theoretical density is 11.1 Mg/m³.

a b c (Å): 4.941 7.338 11.692
angles (deg): 90.00 90.00 90.00
Space group Fmmm (No. 69)
Symmetry-distinct sites (fractional):
U (0.250, 0.250, 0.250)
V (0.000, 0.000, 0.104)
Zn (0.000, 0.168, 0.500)

***

Q: Which of them is the least stable? A: *B*.